Record 1
Ce2Mg16In: relaxed, GGA-PBE.

Unit cell a=7.7976 b=7.7976 c=7.7976 alpha=82.40 beta=82.40 gamma=82.40
Last column: nearest neighbours and their distance in Å.
Sites, in units of the cell vectors:
Ce  0.6719  0.6719  0.6719  1 In 3.42, 12 Mg 3.58-3.79
Ce  0.3288  0.3288  0.3288  16 Mg 3.56-3.83
Mg  0.6965  0.0004  0.3046  8 Mg 2.98-3.17
Mg  0.0004  0.3046  0.6965  8 Mg 2.98-3.17
Mg  0.3046  0.6965  0.0004  8 Mg 2.98-3.17
Mg  0.0004  0.6965  0.3046  8 Mg 2.98-3.17
Mg  0.6965  0.3046  0.0004  8 Mg 2.98-3.17
Mg  0.3046  0.0004  0.6965  8 Mg 2.98-3.17
Mg  0.3507  0.8396  0.3507  8 Mg 2.92-3.16
Mg  0.8396  0.3507  0.3507  8 Mg 2.92-3.16
Mg  0.3507  0.3507  0.8396  8 Mg 2.92-3.16
Mg  0.6493  0.1627  0.6493  8 Mg 2.92-3.17, 1 In 3.26
Mg  0.1627  0.6493  0.6493  8 Mg 2.92-3.17, 1 In 3.26
Mg  0.6493  0.6493  0.1627  8 Mg 2.92-3.17, 1 In 3.26
Mg  0.0023  0.4980  0.0023  9 Mg 2.98-3.14, 1 In 3.14
Mg  0.4980  0.0023  0.0023  9 Mg 2.98-3.14, 1 In 3.14
Mg  0.0023  0.0023  0.4980  9 Mg 2.98-3.14, 1 In 3.14
Mg  0.0942  0.0942  0.0942  1 In 2.99, 6 Mg 3.14-3.30
In  0.8972  0.8972  0.8972  7 Mg 2.99-3.26

Values from the calculation:
SG = No. 160
Calculated formation energy = -0.86 kcal/mol of atoms

=====

Record 2
ZnFe2Pt: relaxed, GGA-PBE.

Unit cell a=2.7895 b=4.3824 c=5.4828 alpha=53.66 beta=90.00 gamma=90.00
Last column: nearest neighbours and their distance in Å.
Sites, in units of the cell vectors:
Fe  0.0000  0.0000  0.0000  6 Fe 2.60-2.79, 4 Pt 2.67, 2 Zn 2.74
Fe  0.5000  0.5000  0.0000  6 Fe 2.60-2.79, 4 Zn 2.67, 2 Pt 2.74
Pt  0.5000  0.5000  0.5000  4 Zn 2.60, 6 Fe 2.67-2.74, 2 Pt 2.79
Zn  0.0000  0.0000  0.5000  4 Pt 2.60, 6 Fe 2.67-2.74, 2 Zn 2.79

Values from the calculation:
SG = No. 10
Calculated formation energy = -2.76 kcal/mol of atoms

=====

| no. | spin magnetization (μB per formula unit) |
| --- | --- |
| 1 | 2.33 |
| 2 | 5.56 |